FeP2PtO PBE with a Hubbard U optimized geometry; E_tot = -4.77 eV per atom; crystal system = tetragonal
1.0
-1.2020 2.4225 4.0006
-4.0192 -2.6473 0.3954
1.8715 -2.5285 2.0934
P Fe Pt O
2 1 1 1
Direct
0.5000 0.0000 0.0000
0.0000 0.5000 0.0000
0.5000 0.5000 0.5000
0.0000 0.0000 0.0000
0.0000 0.0000 0.5000